No. 1
A relaxed AcPrTl crystal. Source: the Alexandria database, functional PBE-GGA.

The space group is I4mm (No. 107) and the conventional cell measures 3.933, 3.933 and 13.939 Å, with angles of 90.00, 90.00 and 90.00 degrees. Symmetry generates all atoms from Ac at (0.000, 0.000, 0.000), Pr at (0.000, 0.000, 0.305) and Tl at (0.000, 0.000, 0.667).

The value obtained for the relative energy among the computed polymorphs is 45 meV per atom. For the calculated density, the calculation gives 8.81 Mg/m³. The calculation puts the energy of formation at -4.79 kcal/mol of atoms.

***

No. 2
A relaxed Nd3Al6Pd20 crystal. Source: the Alexandria database, functional PBE-GGA.

The space group is Fm-3m (No. 225) and the conventional cell measures 12.539, 12.539 and 12.539 Å, with angles of 90.00, 90.00 and 90.00 degrees. Symmetry generates all atoms from Nd at (0.000, 0.000, 0.000), Nd at (0.250, 0.250, 0.250), Al at (0.000, 0.000, 0.272), Pd at (0.000, 0.173, 0.173) and Pd at (0.118, 0.118, 0.382).

For the calculated density, the calculation gives 9.17 Mg/m³. The calculation puts the energy of formation at -17.29 kcal/mol of atoms.

***

No. 3
A relaxed HfFeRuC2 crystal. Source: the Alexandria database, functional PBE-GGA.

The space group is P4/mmm (No. 123) and the conventional cell measures 3.891, 3.891 and 4.727 Å, with angles of 90.00, 90.00 and 90.00 degrees. Symmetry generates all atoms from Hf at (0.000, 0.000, 0.000), Fe at (0.500, 0.500, 0.000), Ru at (0.500, 0.500, 0.500) and C at (0.000, 0.500, 0.500).

For the calculated density, the calculation gives 8.34 Mg/m³. The calculation puts the energy of formation at 30.31 kcal/mol of atoms.

***

No. 4
A relaxed Cd2AsPt crystal. Source: the Alexandria database, functional PBE-GGA.

The space group is I4/mmm (No. 139) and the conventional cell measures 4.220, 4.220 and 8.482 Å, with angles of 90.00, 90.00 and 90.00 degrees. Symmetry generates all atoms from Cd at (0.000, 0.500, 0.250), As at (0.000, 0.000, 0.000) and Pt at (0.000, 0.000, 0.500).

For the calculated density, the calculation gives 10.88 Mg/m³. The calculation puts the energy of formation at -0.99 kcal/mol of atoms.

***

No. 5
A relaxed Mg2TaTe crystal. Source: the Alexandria database, functional PBE-GGA.

The space group is Cmmm (No. 65) and the conventional cell measures 4.339, 4.354 and 9.733 Å, with angles of 90.00, 90.00 and 90.00 degrees. Symmetry generates all atoms from Mg at (0.000, 0.000, 0.212), Ta at (0.000, 0.500, 0.000) and Te at (0.000, 0.500, 0.500).

For the calculated density, the calculation gives 6.45 Mg/m³. For the formation energy (no corrections), the calculation gives 175 meV/atom.

***

No. 6
A relaxed Ta3VMo3 crystal. Source: the Alexandria database, functional PBE-GGA.

The space group is Cmmm (No. 65) and the conventional cell measures 8.870, 9.014 and 6.224 Å, with angles of 90.00, 90.00 and 90.00 degrees. Symmetry generates all atoms from Ta at (0.000, 0.242, 0.000), Ta at (0.220, 0.000, 0.500), Ta at (0.246, 0.000, 0.000), V at (0.000, 0.277, 0.500), Mo at (0.000, 0.500, 0.256) and Mo at (0.250, 0.250, 0.256).

For the calculated density, the calculation gives 11.77 Mg/m³. The calculation puts the energy of formation at 5.13 kcal/mol of atoms.

***

No. 7
A relaxed YbSiPt2 crystal. Source: the Alexandria database, functional PBE-GGA.

The space group is Pnma (No. 62) and the conventional cell measures 7.381, 6.964 and 5.499 Å, with angles of 90.00, 90.00 and 90.00 degrees. Symmetry generates all atoms from Yb at (0.024, 0.250, 0.126), Si at (0.122, 0.750, 0.371) and Pt at (0.174, 0.052, 0.600).

For the calculated density, the calculation gives 13.90 Mg/m³. For the formation energy (no corrections), the calculation gives -1046 meV/atom.

***

No. 8
A relaxed LiDy2CuO5 crystal. Source: the Alexandria database, functional PBE-GGA.

The space group is P4/mbm (No. 127) and the conventional cell measures 6.451, 6.451 and 5.505 Å, with angles of 90.00, 90.00 and 90.00 degrees. Symmetry generates all atoms from Li at (0.000, 0.000, 0.000), Dy at (0.176, 0.324, 0.500), Cu at (0.000, 0.500, 0.000), O at (0.000, 0.000, 0.500) and O at (0.135, 0.635, 0.244).

For the calculated density, the calculation gives 6.89 Mg/m³. For the formation energy (no corrections), the calculation gives -2313 meV/atom.

***

> calculated density of number 4 (Cd2AsPt)?

10.88 Mg/m³